A relaxed structure of Na2Mg2As, computed with PBE-GGA.

Calculated values
- polymorph energy (0 for the lowest one) (eV per formula unit) = 0.00
- DFT formation energy (meV per atom) = -138.3

a = 7.0489 Å, b = 7.0489 Å, c = 5.3930 Å
α = 90.00°, β = 90.00°, γ = 90.00°
With the nearest neighbours (Å) after each atom.
Space group P4/mbm (No. 127)
Unique sites:
Na: 0.1710 0.3290 0.0000  6 Mg 3.26-3.50, 1 Na 3.41
Mg: 0.1450 0.6450 0.5000  2 As 2.70, 1 Mg 2.89
As: 0.0000 0.0000 0.5000  4 Mg 2.70



A relaxed structure of Mg2C, computed with PBE-GGA.

Calculated values
- polymorph energy (0 for the lowest one) (eV per formula unit) = 1.62
- DFT formation energy (meV per atom) = 790.7

a = 3.1987 Å, b = 3.1987 Å, c = 11.7755 Å
α = 90.00°, β = 90.00°, γ = 120.00°
With the nearest neighbours (Å) after each atom.
Space group P6_3/mmc (No. 194)
Unique sites:
Mg: 0.0000 0.0000 0.1386  3 C 2.27
C: 0.3333 0.6667 0.2500  6 Mg 2.27



A relaxed structure of Co2RhBr, computed with PBE-GGA.

Calculated values
- polymorph energy (0 for the lowest one) (eV per formula unit) = 0.96
- formation energy (no corrections) (eV/atom) = 0.664

a = 8.8620 Å, b = 2.9451 Å, c = 4.6312 Å
α = 90.00°, β = 101.80°, γ = 90.00°
With the nearest neighbours (Å) after each atom.
Space group C2/m (No. 12)
Unique sites:
Co: 0.2432 0.0000 0.2101  2 Co 2.46, 3 Rh 2.63-2.65
Rh: 0.0000 0.5000 0.0000  6 Co 2.63-2.65, 4 Br 2.74
Br: 0.0000 0.0000 0.5000  4 Rh 2.74, 6 Co 2.76-2.81, 2 Br 2.95